<i>
Density functional theory data (PBE) for PdSeIN2 after structural relaxation.

a = 3.7977 Å, b = 3.7977 Å, c = 7.9766 Å
α = 90.00°, β = 90.00°, γ = 90.00°
Sites, in units of the cell vectors:
Pd 0.0000 0.0000 0.0000
Se 0.5000 0.5000 0.5000
I 0.5000 0.5000 0.0000
N 0.0000 0.5000 0.5000
N 0.5000 0.0000 0.5000



<ii>
Density functional theory data (PBE) for PdSeIN2 after structural relaxation.

a = 4.1060 Å, b = 4.1060 Å, c = 5.7091 Å
α = 90.00°, β = 90.00°, γ = 90.00°
Sites, in units of the cell vectors:
Pd 0.0000 0.0000 0.0000
Se 0.0000 0.0000 0.5000
I 0.5000 0.5000 0.5000
N 0.0000 0.5000 0.0000
N 0.5000 0.0000 0.0000



Most stable: <ii>. Least stable: <i>.



<i>
Density functional theory data (PBE) for PdSeI2N after structural relaxation.

a = 5.7132 Å, b = 5.7132 Å, c = 3.7419 Å
α = 90.00°, β = 90.00°, γ = 90.00°
Sites, in units of the cell vectors:
Pd 0.0000 0.0000 0.0000
Se 0.5000 0.5000 0.5000
I 0.0000 0.5000 0.0000
I 0.5000 0.0000 0.0000
N 0.0000 0.0000 0.5000



<ii>
Density functional theory data (PBE) for PdSeI2N after structural relaxation.

a = 5.9355 Å, b = 5.9355 Å, c = 3.6322 Å
α = 90.00°, β = 90.00°, γ = 90.00°
Sites, in units of the cell vectors:
Pd 0.0000 0.0000 0.0000
Se 0.5000 0.5000 0.5000
I 0.0000 0.5000 0.5000
I 0.5000 0.0000 0.5000
N 0.5000 0.5000 0.0000



Most stable: <i>. Least stable: <ii>.



<i>
Density functional theory data (PBE) for PdSe2IN after structural relaxation.

a = 5.2954 Å, b = 5.2954 Å, c = 3.7657 Å
α = 90.00°, β = 90.00°, γ = 90.00°
Sites, in units of the cell vectors:
Pd 0.0000 0.0000 0.0000
Se 0.0000 0.5000 0.0000
Se 0.5000 0.0000 0.0000
I 0.5000 0.5000 0.5000
N 0.0000 0.0000 0.5000



<ii>
Density functional theory data (PBE) for PdSe2IN after structural relaxation.

a = 5.4662 Å, b = 5.4662 Å, c = 3.8751 Å
α = 90.00°, β = 90.00°, γ = 90.00°
Sites, in units of the cell vectors:
Pd 0.0000 0.0000 0.0000
Se 0.0000 0.5000 0.5000
Se 0.5000 0.0000 0.5000
I 0.5000 0.5000 0.5000
N 0.5000 0.5000 0.0000



Most stable: <i>. Least stable: <ii>.



<i>
Density functional theory data (PBE) for SrPdIN2 after structural relaxation.

a = 4.3693 Å, b = 4.3693 Å, c = 5.4114 Å
α = 90.00°, β = 90.00°, γ = 90.00°
Sites, in units of the cell vectors:
Sr 0.0000 0.0000 0.0000
Pd 0.5000 0.5000 0.5000
I 0.5000 0.5000 0.0000
N 0.0000 0.5000 0.5000
N 0.5000 0.0000 0.5000



<ii>
Density functional theory data (PBE) for SrPdIN2 after structural relaxation.

a = 4.8291 Å, b = 4.8291 Å, c = 6.7040 Å
α = 90.00°, β = 90.00°, γ = 90.00°
Sites, in units of the cell vectors:
Sr 0.0000 0.0000 0.0000
Pd 0.5000 0.5000 0.5000
I 0.0000 0.0000 0.5000
N 0.0000 0.5000 0.0000
N 0.5000 0.0000 0.0000



Most stable: <i>. Least stable: <ii>.



<i>
Density functional theory data (PBE) for TePdI2N after structural relaxation.

a = 5.8793 Å, b = 5.8793 Å, c = 3.7427 Å
α = 90.00°, β = 90.00°, γ = 90.00°
Sites, in units of the cell vectors:
Te 0.0000 0.0000 0.0000
Pd 0.5000 0.5000 0.5000
I 0.0000 0.5000 0.5000
I 0.5000 0.0000 0.5000
N 0.5000 0.5000 0.0000



<ii>
Density functional theory data (PBE) for TePdI2N after structural relaxation.

a = 6.1145 Å, b = 6.1145 Å, c = 3.9631 Å
α = 90.00°, β = 90.00°, γ = 90.00°
Sites, in units of the cell vectors:
Te 0.0000 0.0000 0.0000
Pd 0.5000 0.5000 0.5000
I 0.0000 0.5000 0.0000
I 0.5000 0.0000 0.0000
N 0.0000 0.0000 0.5000



<iii>
Density functional theory data (PBE) for TePdI2N after structural relaxation.

a = 4.8676 Å, b = 4.8676 Å, c = 4.9419 Å
α = 90.00°, β = 90.00°, γ = 90.00°
Sites, in units of the cell vectors:
Te 0.0000 0.0000 0.0000
Pd 0.5000 0.5000 0.0000
I 0.0000 0.5000 0.5000
I 0.5000 0.0000 0.5000
N 0.0000 0.0000 0.5000



Most stable: <i>. Least stable: <iii>.



<i>
Density functional theory data (PBE) for Te2PdIN after structural relaxation.

a = 5.3114 Å, b = 5.3114 Å, c = 5.6770 Å
α = 90.00°, β = 90.00°, γ = 90.00°
Sites, in units of the cell vectors:
Te 0.0000 0.5000 0.0000
Te 0.5000 0.0000 0.0000
Pd 0.0000 0.0000 0.0000
I 0.0000 0.0000 0.5000
N 0.5000 0.5000 0.5000



<ii>
Density functional theory data (PBE) for Te2PdIN after structural relaxation.

a = 5.9141 Å, b = 5.9141 Å, c = 3.8486 Å
α = 90.00°, β = 90.00°, γ = 90.00°
Sites, in units of the cell vectors:
Te 0.0000 0.5000 0.0000
Te 0.5000 0.0000 0.0000
Pd 0.0000 0.0000 0.5000
I 0.5000 0.5000 0.0000
N 0.5000 0.5000 0.5000



Most stable: <i>. Least stable: <ii>.



<i>
Density functional theory data (PBE) for Te2PdIN after structural relaxation.

a = 5.7864 Å, b = 5.7864 Å, c = 3.7123 Å
α = 90.00°, β = 90.00°, γ = 90.00°
Sites, in units of the cell vectors:
Te 0.0000 0.5000 0.0000
Te 0.5000 0.0000 0.0000
Pd 0.0000 0.0000 0.0000
I 0.5000 0.5000 0.5000
N 0.0000 0.0000 0.5000



<ii>
Density functional theory data (PBE) for Te2PdIN after structural relaxation.

a = 4.8256 Å, b = 4.8256 Å, c = 4.7731 Å
α = 90.00°, β = 90.00°, γ = 90.00°
Sites, in units of the cell vectors:
Te 0.0000 0.5000 0.0000
Te 0.5000 0.0000 0.0000
Pd 0.0000 0.0000 0.5000
I 0.5000 0.5000 0.5000
N 0.5000 0.5000 0.0000



Most stable: <i>. Least stable: <ii>.